Entry 1:
This record from the Alexandria database describes crystalline Ho5ErTm3 at its relaxed geometry. The functional is PBE-GGA.

Structure (CIF):
```
data_Ho5ErTm3
_chemical_formula_sum 'Ho10 Er2 Tm6'
_symmetry_space_group_name_H-M 'P 1'
_symmetry_Int_Tables_number 1
_symmetry_space_group_name_Hall 'P 1'
_cell_length_a 7.5662
_cell_length_b 9.2923
_cell_length_c 10.7124
_cell_angle_alpha 106.81
_cell_angle_beta 90.00
_cell_angle_gamma 114.02
loop_
_atom_site_label
_atom_site_type_symbol
_atom_site_fract_x
_atom_site_fract_y
_atom_site_fract_z
Ho1 Ho 0.2546 0.0000 0.7500
Ho2 Ho 0.5852 0.6670 0.9191
Ho3 Ho 0.9137 0.3308 0.0846
Ho4 Ho 0.4148 0.3330 0.0809
Ho5 Ho 0.5829 0.6692 0.4154
Ho6 Ho 0.7454 0.0000 0.2500
Ho7 Ho 0.0818 0.6670 0.4191
Ho8 Ho 0.9182 0.3330 0.5809
Ho9 Ho 0.4171 0.3308 0.5846
Ho10 Ho 0.0863 0.6692 0.9154
Er1 Er 0.7522 0.0000 0.7500
Er2 Er 0.2478 0.0000 0.2500
Tm1 Tm 0.0000 0.0000 0.0000
Tm2 Tm 0.6628 0.3349 0.3335
Tm3 Tm 0.0000 0.0000 0.5000
Tm4 Tm 0.3372 0.6651 0.6665
Tm5 Tm 0.6721 0.3349 0.8335
Tm6 Tm 0.3279 0.6651 0.1665
```

- DOS(E_F): 17.77 states/eV per cell
- Energy relative to the lowest polymorph listed for this composition: 190 meV/atom
- E_tot: -3.82 eV/atom
- Symmetry: No. 15
- Formation energy: 0.72 eV/atom


Entry 2:
This record from the Alexandria database describes crystalline Ho3Er5Tm4 at its relaxed geometry. The functional is PBE-GGA.

Structure (CIF):
```
data_Ho3Er5Tm4
_chemical_formula_sum 'Ho3 Er5 Tm4'
_symmetry_space_group_name_H-M 'P 1'
_symmetry_Int_Tables_number 1
_symmetry_space_group_name_Hall 'P 1'
_cell_length_a 7.0008
_cell_length_b 11.0486
_cell_length_c 12.5980
_cell_angle_alpha 151.29
_cell_angle_beta 56.32
_cell_angle_gamma 129.26
loop_
_atom_site_label
_atom_site_type_symbol
_atom_site_fract_x
_atom_site_fract_y
_atom_site_fract_z
Ho1 Ho 0.5841 0.1671 0.3334
Ho2 Ho 0.0000 0.0000 0.5000
Ho3 Ho 0.4159 0.8329 0.6666
Er1 Er 0.3335 0.6669 0.8334
Er2 Er 0.5000 0.0000 0.5000
Er3 Er 0.7497 0.5004 0.0004
Er4 Er 0.2503 0.4996 0.9996
Er5 Er 0.6665 0.3331 0.1666
Tm1 Tm 0.9166 0.8332 0.6668
Tm2 Tm 0.8336 0.6669 0.8334
Tm3 Tm 0.1664 0.3331 0.1666
Tm4 Tm 0.0834 0.1668 0.3332
```

- DOS(E_F): 15.87 states/eV per cell
- Energy relative to the lowest polymorph listed for this composition: 0 meV/atom
- E_tot: -4.51 eV/atom
- Symmetry: No. 2
- Formation energy: 0.02 eV/atom


Entry 3:
This record from the Alexandria database describes crystalline Ho5Er12Tm2 at its relaxed geometry. The functional is PBE-GGA.

Structure (CIF):
```
data_Ho5Er12Tm2
_chemical_formula_sum 'Ho5 Er12 Tm2'
_symmetry_space_group_name_H-M 'P 1'
_symmetry_Int_Tables_number 1
_symmetry_space_group_name_Hall 'P 1'
_cell_length_a 9.0819
_cell_length_b 8.9965
_cell_length_c 8.4035
_cell_angle_alpha 90.98
_cell_angle_beta 90.00
_cell_angle_gamma 120.31
loop_
_atom_site_label
_atom_site_type_symbol
_atom_site_fract_x
_atom_site_fract_y
_atom_site_fract_z
Ho1 Ho 0.2324 0.4649 0.5737
Ho2 Ho 0.3013 0.6025 0.9895
Ho3 Ho 0.0000 0.0000 0.5000
Ho4 Ho 0.6987 0.3975 0.0105
Ho5 Ho 0.7676 0.5351 0.4263
Er1 Er 0.9097 0.8195 0.1152
Er2 Er 0.0277 0.6915 0.7569
Er3 Er 0.6638 0.6915 0.7569
Er4 Er 0.1802 0.7467 0.3369
Er5 Er 0.5665 0.7467 0.3369
Er6 Er 0.4425 0.8849 0.6656
Er7 Er 0.5575 0.1151 0.3344
Er8 Er 0.8198 0.2533 0.6631
Er9 Er 0.4335 0.2533 0.6631
Er10 Er 0.9723 0.3085 0.2431
Er11 Er 0.3362 0.3085 0.2431
Er12 Er 0.0903 0.1805 0.8848
Tm1 Tm 0.6776 0.0000 0.0000
Tm2 Tm 0.3224 0.0000 0.0000
```

- DOS(E_F): 28.51 states/eV per cell
- Energy relative to the lowest polymorph listed for this composition: 35 meV/atom
- E_tot: -4.43 eV/atom
- Symmetry: No. 12
- Formation energy: 0.13 eV/atom


Entry 4:
This record from the Alexandria database describes crystalline HoEr5Tm4 at its relaxed geometry. The functional is PBE-GGA.

Structure (CIF):
```
data_HoEr5Tm4
_chemical_formula_sum 'Ho1 Er5 Tm4'
_symmetry_space_group_name_H-M 'P 1'
_symmetry_Int_Tables_number 1
_symmetry_space_group_name_Hall 'P 1'
_cell_length_a 3.5131
_cell_length_b 6.6904
_cell_length_c 14.3987
_cell_angle_alpha 89.65
_cell_angle_beta 107.18
_cell_angle_gamma 108.17
loop_
_atom_site_label
_atom_site_type_symbol
_atom_site_fract_x
_atom_site_fract_y
_atom_site_fract_z
Ho1 Ho 0.5000 0.0000 0.0000
Er1 Er 0.9148 0.5920 0.3848
Er2 Er 0.2012 0.1322 0.4148
Er3 Er 0.7988 0.8678 0.5852
Er4 Er 0.5000 0.5000 0.0000
Er5 Er 0.0852 0.4080 0.6152
Tm1 Tm 0.2957 0.8618 0.2123
Tm2 Tm 0.9302 0.6742 0.8039
Tm3 Tm 0.7043 0.1382 0.7877
Tm4 Tm 0.0698 0.3258 0.1961
```

- DOS(E_F): 15.97 states/eV per cell
- Energy relative to the lowest polymorph listed for this composition: 0 meV/atom
- E_tot: -4.47 eV/atom
- Symmetry: No. 2
- Formation energy: 0.06 eV/atom